# PBE-GGA NaLiSnAs2, optimized geometry
data_NaLiSnAs2
_cell_length_a 7.280
_cell_length_b 7.280
_cell_length_c 8.818
_cell_angle_alpha 103.35
_cell_angle_beta 103.35
_cell_angle_gamma 34.42
_symmetry_space_group_name_H-M 'P 1'
_symmetry_Int_Tables_number 1
_symmetry_space_group_name_Hall 'P 1'
loop_
_atom_site_label
_atom_site_fract_x
_atom_site_fract_y
_atom_site_fract_z
Na1 0.139 0.139 0.182
Na2 0.861 0.861 0.818
Li1 0.187 0.187 0.569
Li2 0.813 0.813 0.431
Sn1 0.428 0.428 0.302
Sn2 0.572 0.572 0.698
As1 0.159 0.159 0.858
As2 0.377 0.377 0.583
As3 0.623 0.623 0.417
As4 0.841 0.841 0.142
# - SG = C2/m (12)
# - crystal system = monoclinic
# - E_form (meV/atom) = -365
# - D(E_F) (states/eV per cell) = 1.1
# - total magnetization (μB per formula unit) = 0.00